Record 1
# Gd2RuRh, relaxed, DFT GGA-PBE
data_Gd2RuRh
_chemical_formula_sum 'Gd8 Ru4 Rh4'
_cell_length_a 6.891
_cell_length_b 6.891
_cell_length_c 6.891
_cell_angle_alpha 90.00
_cell_angle_beta 90.00
_cell_angle_gamma 90.00
_symmetry_space_group_name_H-M 'F m -3 m'
_symmetry_Int_Tables_number 225
_symmetry_space_group_name_Hall '-F 4 2 3'
loop_
_atom_site_label
_atom_site_type_symbol
_atom_site_fract_x
_atom_site_fract_y
_atom_site_fract_z
_atom_site_occupancy
Gd1 Gd 0.250 0.250 0.250 1
Ru1 Ru 0.000 0.000 0.000 1
Rh1 Rh 0.000 0.000 0.500 1
# V, Å³ per atom: 20.45
# Theoretical density, Mg/m³: 10.52
# E_form, meV/atom: -537


Record 2
# GdTmRuRh, relaxed, DFT GGA-PBE
data_GdTmRuRh
_chemical_formula_sum 'Gd4 Tm4 Ru4 Rh4'
_cell_length_a 6.810
_cell_length_b 6.810
_cell_length_c 6.810
_cell_angle_alpha 90.00
_cell_angle_beta 90.00
_cell_angle_gamma 90.00
_symmetry_space_group_name_H-M 'F -4 3 m'
_symmetry_Int_Tables_number 216
_symmetry_space_group_name_Hall 'F -4 2 3'
loop_
_atom_site_label
_atom_site_type_symbol
_atom_site_fract_x
_atom_site_fract_y
_atom_site_fract_z
_atom_site_occupancy
Gd1 Gd 0.000 0.000 0.000 1
Tm1 Tm 0.000 0.000 0.500 1
Ru1 Ru 0.250 0.250 0.750 1
Rh1 Rh 0.250 0.250 0.250 1
# V, Å³ per atom: 19.74
# Theoretical density, Mg/m³: 11.15
# E_form, meV/atom: -627


Record 3
# GdZrRuRh, relaxed, DFT GGA-PBE
data_GdZrRuRh
_chemical_formula_sum 'Gd4 Zr4 Ru4 Rh4'
_cell_length_a 6.728
_cell_length_b 6.728
_cell_length_c 6.728
_cell_angle_alpha 90.00
_cell_angle_beta 90.00
_cell_angle_gamma 90.00
_symmetry_space_group_name_H-M 'F -4 3 m'
_symmetry_Int_Tables_number 216
_symmetry_space_group_name_Hall 'F -4 2 3'
loop_
_atom_site_label
_atom_site_type_symbol
_atom_site_fract_x
_atom_site_fract_y
_atom_site_fract_z
_atom_site_occupancy
Gd1 Gd 0.000 0.000 0.000 1
Zr1 Zr 0.000 0.000 0.500 1
Ru1 Ru 0.250 0.250 0.750 1
Rh1 Rh 0.250 0.250 0.250 1
# V, Å³ per atom: 19.04
# Theoretical density, Mg/m³: 9.87
# E_form, meV/atom: -585


Record 4
# Gd2SbRh, relaxed, DFT GGA-PBE
data_Gd2SbRh
_chemical_formula_sum 'Gd6 Sb3 Rh3'
_cell_length_a 5.1311
_cell_length_b 5.1311
_cell_length_c 12.7273
_cell_angle_alpha 90.00
_cell_angle_beta 90.00
_cell_angle_gamma 120.00
_symmetry_space_group_name_H-M 'R -3 m'
_symmetry_Int_Tables_number 166
_symmetry_space_group_name_Hall '-R 3 2"'
loop_
_atom_site_label
_atom_site_type_symbol
_atom_site_fract_x
_atom_site_fract_y
_atom_site_fract_z
_atom_site_occupancy
Gd1 Gd 0.0000 0.0000 0.2490 1
Sb1 Sb 0.0000 0.0000 0.0000 1
Rh1 Rh 0.0000 0.0000 0.5000 1
# V, Å³ per atom: 24.18
# Theoretical density, Mg/m³: 9.26
# Energy relative to the elements, uncorrected, kJ/mol of formula units: -288


Record 5
# Gd2SbRh, relaxed, DFT GGA-PBE
data_Gd2SbRh
_chemical_formula_sum 'Gd2 Sb1 Rh1'
_cell_length_a 3.561
_cell_length_b 3.561
_cell_length_c 7.617
_cell_angle_alpha 90.00
_cell_angle_beta 90.00
_cell_angle_gamma 90.00
_symmetry_space_group_name_H-M 'P 4/m m m'
_symmetry_Int_Tables_number 123
_symmetry_space_group_name_Hall '-P 4 2'
loop_
_atom_site_label
_atom_site_type_symbol
_atom_site_fract_x
_atom_site_fract_y
_atom_site_fract_z
_atom_site_occupancy
Gd1 Gd 0.000 0.000 0.220 1
Sb1 Sb 0.500 0.500 0.500 1
Rh1 Rh 0.500 0.500 0.000 1
# V, Å³ per atom: 24.15
# Theoretical density, Mg/m³: 9.27
# Energy relative to the elements, uncorrected, kJ/mol of formula units: -314


Record 6
# GdSbRh4, relaxed, DFT GGA-PBE
data_GdSbRh4
_chemical_formula_sum 'Gd4 Sb4 Rh16'
_cell_length_a 7.519
_cell_length_b 7.519
_cell_length_c 7.519
_cell_angle_alpha 90.00
_cell_angle_beta 90.00
_cell_angle_gamma 90.00
_symmetry_space_group_name_H-M 'F -4 3 m'
_symmetry_Int_Tables_number 216
_symmetry_space_group_name_Hall 'F -4 2 3'
loop_
_atom_site_label
_atom_site_type_symbol
_atom_site_fract_x
_atom_site_fract_y
_atom_site_fract_z
_atom_site_occupancy
Gd1 Gd 0.000 0.000 0.000 1
Sb1 Sb 0.250 0.250 0.750 1
Rh1 Rh 0.124 0.124 0.376 1
# V, Å³ per atom: 17.71
# Theoretical density, Mg/m³: 10.79
# Energy relative to the elements, uncorrected, kJ/mol of formula units: -237


Record 7
# Gd2ScRh, relaxed, DFT GGA-PBE
data_Gd2ScRh
_chemical_formula_sum 'Gd2 Sc1 Rh1'
_cell_length_a 3.537
_cell_length_b 3.537
_cell_length_c 8.027
_cell_angle_alpha 90.00
_cell_angle_beta 90.00
_cell_angle_gamma 90.00
_symmetry_space_group_name_H-M 'P 4/m m m'
_symmetry_Int_Tables_number 123
_symmetry_space_group_name_Hall '-P 4 2'
loop_
_atom_site_label
_atom_site_type_symbol
_atom_site_fract_x
_atom_site_fract_y
_atom_site_fract_z
_atom_site_occupancy
Gd1 Gd 0.000 0.000 0.204 1
Sc1 Sc 0.500 0.500 0.500 1
Rh1 Rh 0.500 0.500 0.000 1
# V, Å³ per atom: 25.10
# Theoretical density, Mg/m³: 7.65
# E_form, meV/atom: -338


Record 8
# GdScRh2, relaxed, DFT GGA-PBE
data_GdScRh2
_chemical_formula_sum 'Gd4 Sc4 Rh8'
_cell_length_a 6.701
_cell_length_b 6.701
_cell_length_c 6.701
_cell_angle_alpha 90.00
_cell_angle_beta 90.00
_cell_angle_gamma 90.00
_symmetry_space_group_name_H-M 'F m -3 m'
_symmetry_Int_Tables_number 225
_symmetry_space_group_name_Hall '-F 4 2 3'
loop_
_atom_site_label
_atom_site_type_symbol
_atom_site_fract_x
_atom_site_fract_y
_atom_site_fract_z
_atom_site_occupancy
Gd1 Gd 0.000 0.000 0.000 1
Sc1 Sc 0.000 0.000 0.500 1
Rh1 Rh 0.250 0.250 0.250 1
# V, Å³ per atom: 18.80
# Theoretical density, Mg/m³: 9.01
# E_form, meV/atom: -855


Record 9
# GdScRh2, relaxed, DFT GGA-PBE
data_GdScRh2
_chemical_formula_sum 'Gd1 Sc1 Rh2'
_cell_length_a 3.276
_cell_length_b 3.276
_cell_length_c 6.974
_cell_angle_alpha 90.00
_cell_angle_beta 90.00
_cell_angle_gamma 90.00
_symmetry_space_group_name_H-M 'P 4/m m m'
_symmetry_Int_Tables_number 123
_symmetry_space_group_name_Hall '-P 4 2'
loop_
_atom_site_label
_atom_site_type_symbol
_atom_site_fract_x
_atom_site_fract_y
_atom_site_fract_z
_atom_site_occupancy
Gd1 Gd 0.000 0.000 0.000 1
Sc1 Sc 0.000 0.000 0.500 1
Rh1 Rh 0.500 0.500 0.272 1
# V, Å³ per atom: 18.71
# Theoretical density, Mg/m³: 9.05
# E_form, meV/atom: -875


Record 10
# GdScRh, relaxed, DFT GGA-PBE
data_GdScRh
_chemical_formula_sum 'Gd2 Sc2 Rh2'
_cell_length_a 3.345
_cell_length_b 3.345
_cell_length_c 12.114
_cell_angle_alpha 90.00
_cell_angle_beta 90.00
_cell_angle_gamma 90.00
_symmetry_space_group_name_H-M 'I 4 m m'
_symmetry_Int_Tables_number 107
_symmetry_space_group_name_Hall 'I 4 -2'
loop_
_atom_site_label
_atom_site_type_symbol
_atom_site_fract_x
_atom_site_fract_y
_atom_site_fract_z
_atom_site_occupancy
Gd1 Gd 0.000 0.000 0.000 1
Sc1 Sc 0.000 0.000 0.271 1
Rh1 Rh 0.000 0.000 0.655 1
# V, Å³ per atom: 22.59
# Theoretical density, Mg/m³: 7.48
# E_form, meV/atom: -551


Record 11
# Gd2ScRh, relaxed, DFT GGA-PBE
data_Gd2ScRh
_chemical_formula_sum 'Gd6 Sc3 Rh3'
_cell_length_a 3.4912
_cell_length_b 3.4912
_cell_length_c 30.7617
_cell_angle_alpha 90.00
_cell_angle_beta 90.00
_cell_angle_gamma 120.00
_symmetry_space_group_name_H-M 'R -3 m'
_symmetry_Int_Tables_number 166
_symmetry_space_group_name_Hall '-R 3 2"'
loop_
_atom_site_label
_atom_site_type_symbol
_atom_site_fract_x
_atom_site_fract_y
_atom_site_fract_z
_atom_site_occupancy
Gd1 Gd 0.0000 0.0000 0.1038 1
Sc1 Sc 0.0000 0.0000 0.0000 1
Rh1 Rh 0.0000 0.0000 0.5000 1
# V, Å³ per atom: 27.06
# Theoretical density, Mg/m³: 7.09
# E_form, meV/atom: -52


Record 12
# GdScRh, relaxed, DFT GGA-PBE
data_GdScRh
_chemical_formula_sum 'Gd4 Sc4 Rh4'
_cell_length_a 6.633
_cell_length_b 6.633
_cell_length_c 6.633
_cell_angle_alpha 90.00
_cell_angle_beta 90.00
_cell_angle_gamma 90.00
_symmetry_space_group_name_H-M 'F -4 3 m'
_symmetry_Int_Tables_number 216
_symmetry_space_group_name_Hall 'F -4 2 3'
loop_
_atom_site_label
_atom_site_type_symbol
_atom_site_fract_x
_atom_site_fract_y
_atom_site_fract_z
_atom_site_occupancy
Gd1 Gd 0.000 0.000 0.000 1
Sc1 Sc 0.000 0.000 0.500 1
Rh1 Rh 0.250 0.250 0.250 1
# V, Å³ per atom: 24.31
# Theoretical density, Mg/m³: 6.95
# E_form, meV/atom: -532


Record 13
# GdScSnRh, relaxed, DFT GGA-PBE
data_GdScSnRh
_chemical_formula_sum 'Gd4 Sc4 Sn4 Rh4'
_cell_length_a 7.056
_cell_length_b 7.056
_cell_length_c 7.056
_cell_angle_alpha 90.00
_cell_angle_beta 90.00
_cell_angle_gamma 90.00
_symmetry_space_group_name_H-M 'F -4 3 m'
_symmetry_Int_Tables_number 216
_symmetry_space_group_name_Hall 'F -4 2 3'
loop_
_atom_site_label
_atom_site_type_symbol
_atom_site_fract_x
_atom_site_fract_y
_atom_site_fract_z
_atom_site_occupancy
Gd1 Gd 0.000 0.000 0.000 1
Sc1 Sc 0.000 0.000 0.500 1
Sn1 Sn 0.250 0.250 0.750 1
Rh1 Rh 0.250 0.250 0.250 1
# V, Å³ per atom: 21.96
# Theoretical density, Mg/m³: 8.01
# E_form, meV/atom: -632


Record 14
# TbGdScRh, relaxed, DFT GGA-PBE
data_TbGdScRh
_chemical_formula_sum 'Tb4 Gd4 Sc4 Rh4'
_cell_length_a 7.200
_cell_length_b 7.200
_cell_length_c 7.200
_cell_angle_alpha 90.00
_cell_angle_beta 90.00
_cell_angle_gamma 90.00
_symmetry_space_group_name_H-M 'F -4 3 m'
_symmetry_Int_Tables_number 216
_symmetry_space_group_name_Hall 'F -4 2 3'
loop_
_atom_site_label
_atom_site_type_symbol
_atom_site_fract_x
_atom_site_fract_y
_atom_site_fract_z
_atom_site_occupancy
Tb1 Tb 0.000 0.000 0.000 1
Gd1 Gd 0.000 0.000 0.500 1
Sc1 Sc 0.250 0.250 0.750 1
Rh1 Rh 0.250 0.250 0.250 1
# V, Å³ per atom: 23.33
# Theoretical density, Mg/m³: 8.26
# E_form, meV/atom: -180


Record 15
# GdScTlRh, relaxed, DFT GGA-PBE
data_GdScTlRh
_chemical_formula_sum 'Gd4 Sc4 Tl4 Rh4'
_cell_length_a 7.087
_cell_length_b 7.087
_cell_length_c 7.087
_cell_angle_alpha 90.00
_cell_angle_beta 90.00
_cell_angle_gamma 90.00
_symmetry_space_group_name_H-M 'F -4 3 m'
_symmetry_Int_Tables_number 216
_symmetry_space_group_name_Hall 'F -4 2 3'
loop_
_atom_site_label
_atom_site_type_symbol
_atom_site_fract_x
_atom_site_fract_y
_atom_site_fract_z
_atom_site_occupancy
Gd1 Gd 0.000 0.000 0.000 1
Sc1 Sc 0.000 0.000 0.500 1
Tl1 Tl 0.250 0.250 0.750 1
Rh1 Rh 0.250 0.250 0.250 1
# V, Å³ per atom: 22.25
# Theoretical density, Mg/m³: 9.51
# E_form, meV/atom: -457